[1]
VASP calculation (PBE) on a relaxed ZrCrSi crystal.

Geometry as POSCAR:
```
ZrCrSi
1.0
9.938 0.000 0.000
0.000 3.394 0.000
-3.906 0.000 5.602
Zr Cr Si
4 4 4
Direct
0.075 0.000 0.306
0.425 0.500 0.694
0.575 0.500 0.306
0.925 0.000 0.694
0.179 0.500 0.065
0.321 0.000 0.935
0.679 0.000 0.065
0.821 0.500 0.935
0.141 0.500 0.678
0.359 0.000 0.322
0.641 0.000 0.678
0.859 0.500 0.322
```

- Formation energy (no corrections): -491 meV/atom

---

[2]
VASP calculation (PBE) on a relaxed ZrCrSi crystal.

Geometry as POSCAR:
```
ZrCrSi
1.0
3.350 0.000 0.000
-1.675 2.901 0.000
0.000 0.000 5.230
Zr Cr Si
1 1 1
Direct
0.000 0.000 0.000
0.667 0.333 0.385
0.333 0.667 0.636
```

- Formation energy (no corrections): 70 meV/atom

---

[3]
VASP calculation (PBE) on a relaxed ZrCrSi crystal.

Geometry as POSCAR:
```
ZrCrSi
1.0
4.304 0.000 0.000
-2.108 4.702 0.000
-1.010 -1.408 4.867
Zr Cr Si
2 2 2
Direct
0.223 0.354 0.207
0.777 0.646 0.793
0.469 0.036 0.796
0.531 0.964 0.204
0.017 0.212 0.659
0.983 0.788 0.341
```

- Formation energy (no corrections): -231 meV/atom

---

[4]
VASP calculation (PBE) on a relaxed Zr2CrSi crystal.

Geometry as POSCAR:
```
Zr2CrSi
1.0
6.508 0.000 0.000
0.000 6.508 0.000
0.000 0.000 6.508
Zr Cr Si
8 4 4
Direct
0.000 0.000 0.000
0.000 0.500 0.500
0.250 0.250 0.250
0.250 0.750 0.750
0.500 0.000 0.500
0.500 0.500 0.000
0.750 0.250 0.750
0.750 0.750 0.250
0.000 0.000 0.500
0.000 0.500 0.000
0.500 0.000 0.000
0.500 0.500 0.500
0.250 0.250 0.750
0.250 0.750 0.250
0.750 0.250 0.250
0.750 0.750 0.750
```

- Formation energy (no corrections): -28 meV/atom

---

[5]
VASP calculation (PBE) on a relaxed Sm3Cr crystal.

Geometry as POSCAR:
```
Sm3Cr
1.0
4.812 0.000 0.000
0.000 4.812 0.000
0.000 0.000 9.934
Sm Cr
6 2
Direct
0.000 0.000 0.000
0.000 0.500 0.250
0.000 0.500 0.750
0.500 0.000 0.250
0.500 0.000 0.750
0.500 0.500 0.500
0.000 0.000 0.500
0.500 0.500 0.000
```

- Formation enthalpy at 0 K: 0.3502 eV per atom

---

[6]
VASP calculation (PBE) on a relaxed SmCr4 crystal.

Geometry as POSCAR:
```
SmCr4
1.0
4.828 0.000 0.000
0.000 4.828 0.000
0.000 0.000 4.828
Sm Cr
1 4
Direct
0.000 0.000 0.000
0.000 0.000 0.500
0.000 0.500 0.000
0.500 0.000 0.000
0.500 0.500 0.500
```

- Formation enthalpy at 0 K: 2.0866 eV per atom